{"formula": "LiTe2W", "functional": "GGA-PBE", "state": "optimized geometry", "lattice": [[-1.979, 1.219, 2.675], [0.299, -3.125, 1.645], [6.198, 2.425, 3.482]], "species": ["Li", "Te", "Te", "W"], "fractional_positions": [[0.500, 0.500, 0.735], [0.000, 0.000, 0.880], [0.500, 0.500, 0.358], [0.000, 0.000, 0.527]], "e_form_raw_kj_per_mol_fu": 42, "de_polymorph_mev_per_atom": 140, "dos_at_fermi_per_ev_cell": 2.62}


{"formula": "Li2TeW", "functional": "GGA-PBE", "state": "optimized geometry", "lattice": [[-1.688, -2.902, 0.691], [2.024, -0.530, 2.715], [-3.781, 3.010, 3.406]], "species": ["Li", "Li", "Te", "W"], "fractional_positions": [[0.000, 0.000, 0.004], [0.500, 0.500, 0.231], [0.000, 0.000, 0.521], [0.500, 0.500, 0.745]], "e_form_raw_kj_per_mol_fu": 79, "dos_at_fermi_per_ev_cell": 1.68}


{"formula": "Li2TeW", "functional": "GGA-PBE", "state": "optimized geometry", "lattice": [[5.433, -0.006, 0.000], [2.636, 4.750, 0.000], [-4.035, -2.372, 2.759]], "species": ["Li", "Li", "Te", "W"], "fractional_positions": [[0.000, 0.000, 0.000], [0.500, 0.500, 0.000], [0.250, 0.750, 0.500], [0.750, 0.250, 0.500]], "e_form_raw_kj_per_mol_fu": 188, "dos_at_fermi_per_ev_cell": 4.01}


{"formula": "LiTe2W", "functional": "GGA-PBE", "state": "optimized geometry", "lattice": [[-2.987, -0.515, 0.429], [1.518, -2.553, 0.739], [0.835, 3.330, 9.799]], "species": ["Li", "Te", "Te", "W"], "fractional_positions": [[0.500, 0.500, 0.730], [0.000, 0.000, 0.948], [0.500, 0.500, 0.313], [0.000, 0.000, 0.510]], "e_form_raw_kj_per_mol_fu": 145, "de_polymorph_mev_per_atom": 408, "dos_at_fermi_per_ev_cell": 2.56}


{"formula": "LiTeW", "functional": "GGA-PBE", "state": "optimized geometry", "lattice": [[4.753, 0.000, 0.000], [-2.376, 4.116, 0.000], [0.000, 0.000, 2.830]], "species": ["Li", "Te", "W"], "fractional_positions": [[0.000, 0.000, 0.000], [0.667, 0.333, 0.499], [0.333, 0.667, 0.500]], "e_form_raw_kj_per_mol_fu": 156, "de_polymorph_mev_per_atom": 208, "dos_at_fermi_per_ev_cell": 1.42}


{"formula": "LiTe2W", "functional": "GGA-PBE", "state": "optimized geometry", "lattice": [[-3.150, 0.904, 1.276], [-2.897, -5.673, -3.132], [-1.182, -5.385, 0.899]], "species": ["Li", "Te", "Te", "W"], "fractional_positions": [[0.000, 0.000, 0.500], [0.000, 0.000, 0.000], [0.500, 0.500, 0.000], [0.500, 0.500, 0.500]], "e_form_raw_kj_per_mol_fu": 81, "de_polymorph_mev_per_atom": 242, "dos_at_fermi_per_ev_cell": 2.61}


{"formula": "LiY3Te2", "functional": "GGA-PBE", "state": "optimized geometry", "lattice": [[4.224, 0.000, 0.000], [0.000, 11.779, 0.000], [0.000, 0.000, 12.231]], "species": ["Li", "Li", "Li", "Li", "Y", "Y", "Y", "Y", "Y", "Y", "Y", "Y", "Y", "Y", "Y", "Y", "Te", "Te", "Te", "Te", "Te", "Te", "Te", "Te"], "fractional_positions": [[0.250, 0.128, 0.138], [0.750, 0.872, 0.862], [0.750, 0.628, 0.362], [0.250, 0.372, 0.638], [0.250, 0.379, 0.043], [0.750, 0.621, 0.957], [0.750, 0.879, 0.457], [0.250, 0.121, 0.543], [0.250, 0.704, 0.201], [0.750, 0.296, 0.799], [0.750, 0.204, 0.299], [0.250, 0.796, 0.701], [0.250, 0.429, 0.377], [0.750, 0.571, 0.623], [0.750, 0.929, 0.123], [0.250, 0.071, 0.877], [0.250, 0.683, 0.469], [0.750, 0.317, 0.531], [0.750, 0.183, 0.031], [0.250, 0.817, 0.969], [0.250, 0.993, 0.306], [0.750, 0.007, 0.694], [0.750, 0.493, 0.194], [0.250, 0.507, 0.806]], "e_form_raw_kj_per_mol_fu": -507, "dos_at_fermi_per_ev_cell": 15.31}


{"formula": "LiY3Te", "functional": "GGA-PBE", "state": "optimized geometry", "lattice": [[5.723, 0.000, 0.000], [0.000, 5.723, 0.000], [0.000, 0.000, 5.723]], "species": ["Y", "Y", "Y", "Te", "Li"], "fractional_positions": [[0.000, 0.500, 0.000], [0.000, 0.000, 0.500], [0.500, 0.000, 0.000], [0.000, 0.000, 0.000], [0.500, 0.500, 0.500]], "e_form_raw_kj_per_mol_fu": 15, "de_polymorph_mev_per_atom": 0, "dos_at_fermi_per_ev_cell": 9.29}


{"formula": "LiY4Te5", "functional": "GGA-PBE", "state": "optimized geometry", "lattice": [[-0.226, -6.137, -0.084], [6.523, -3.288, -1.779], [1.620, -3.223, 6.596]], "species": ["Li", "Y", "Y", "Y", "Y", "Te", "Te", "Te", "Te", "Te"], "fractional_positions": [[0.002, 0.000, 0.000], [0.404, 0.400, 0.794], [0.804, 0.794, 0.600], [0.198, 0.206, 0.400], [0.598, 0.600, 0.206], [0.904, 0.386, 0.808], [0.290, 0.808, 0.614], [0.712, 0.192, 0.386], [0.098, 0.614, 0.192], [0.501, 0.000, 0.000]], "e_form_raw_kj_per_mol_fu": -1281, "dos_at_fermi_per_ev_cell": 4.76}


{"formula": "LiY3Te4", "functional": "GGA-PBE", "state": "optimized geometry", "lattice": [[5.619, 0.005, -2.491], [-1.109, 5.509, -2.491], [-0.028, -0.034, 7.521]], "species": ["Y", "Y", "Y", "Te", "Te", "Te", "Te", "Li"], "fractional_positions": [[0.500, 0.500, 0.000], [0.750, 0.250, 0.500], [0.250, 0.750, 0.500], [0.000, 0.500, 0.000], [0.500, 0.000, 0.000], [0.243, 0.243, 0.486], [0.757, 0.757, 0.514], [0.000, 0.000, 0.000]], "e_form_raw_kj_per_mol_fu": -1025, "de_polymorph_mev_per_atom": 0, "dos_at_fermi_per_ev_cell": 2.68}


{"formula": "LiY4Te", "functional": "GGA-PBE", "state": "optimized geometry", "lattice": [[1.430, -4.224, -4.718], [-0.501, -6.380, 1.093], [-4.732, -3.418, -2.840]], "species": ["Li", "Y", "Y", "Y", "Y", "Te"], "fractional_positions": [[0.750, 0.750, 0.750], [0.875, 0.375, 0.375], [0.375, 0.375, 0.875], [0.375, 0.875, 0.375], [0.375, 0.375, 0.375], [0.000, 0.000, 0.000]], "e_form_raw_kj_per_mol_fu": 141, "dos_at_fermi_per_ev_cell": 8.91}


{"formula": "LiYTe3", "functional": "GGA-PBE", "state": "optimized geometry", "lattice": [[5.142, 0.000, 0.000], [0.000, 5.142, 0.000], [0.000, 0.000, 5.142]], "species": ["Y", "Te", "Te", "Te", "Li"], "fractional_positions": [[0.500, 0.500, 0.500], [0.000, 0.500, 0.000], [0.000, 0.000, 0.500], [0.500, 0.000, 0.000], [0.000, 0.000, 0.000]], "e_form_raw_kj_per_mol_fu": -177, "de_polymorph_mev_per_atom": 113, "dos_at_fermi_per_ev_cell": 4.73}


{"formula": "Li3YTe", "functional": "GGA-PBE", "state": "optimized geometry", "lattice": [[5.078, 0.000, 0.000], [0.000, 5.078, 0.000], [0.000, 0.000, 5.078]], "species": ["Y", "Te", "Li", "Li", "Li"], "fractional_positions": [[0.500, 0.500, 0.500], [0.000, 0.000, 0.000], [0.000, 0.500, 0.000], [0.000, 0.000, 0.500], [0.500, 0.000, 0.000]], "e_form_raw_kj_per_mol_fu": -40, "de_polymorph_mev_per_atom": 0, "dos_at_fermi_per_ev_cell": 4.06}


{"formula": "Li5Y3Te12", "functional": "GGA-PBE", "state": "optimized geometry", "lattice": [[15.250, 0.000, 0.000], [-5.083, 14.378, 0.000], [-5.083, -7.189, 12.452]], "species": ["Y", "Y", "Y", "Y", "Y", "Y", "Y", "Y", "Y", "Y", "Y", "Y", "Li", "Li", "Li", "Li", "Li", "Li", "Li", "Li", "Li", "Li", "Li", "Li", "Li", "Li", "Li", "Li", "Li", "Li", "Li", "Li", "Te", "Te", "Te", "Te", "Te", "Te", "Te", "Te", "Te", "Te", "Te", "Te", "Te", "Te", "Te", "Te", "Te", "Te", "Te", "Te", "Te", "Te", "Te", "Te", "Te", "Te", "Te", "Te", "Te", "Te", "Te", "Te", "Te", "Te", "Te", "Te", "Te", "Te", "Te", "Te", "Te", "Te", "Te", "Te", "Te", "Te", "Te", "Te"], "fractional_positions": [[0.750, 0.375, 0.125], [0.875, 0.750, 0.125], [0.375, 0.750, 0.625], [0.250, 0.125, 0.375], [0.875, 0.125, 0.250], [0.375, 0.625, 0.250], [0.625, 0.375, 0.750], [0.125, 0.875, 0.750], [0.750, 0.875, 0.625], [0.625, 0.250, 0.375], [0.125, 0.250, 0.875], [0.250, 0.625, 0.875], [0.125, 0.375, 0.250], [0.000, 0.500, 0.000], [0.000, 0.000, 0.000], [0.375, 0.250, 0.125], [0.500, 0.000, 0.500], [0.500, 0.500, 0.000], [0.125, 0.750, 0.375], [0.750, 0.125, 0.875], [0.750, 0.625, 0.375], [0.375, 0.125, 0.750], [0.625, 0.875, 0.250], [0.500, 0.500, 0.500], [0.500, 0.000, 0.000], [0.000, 0.000, 0.500], [0.250, 0.375, 0.625], [0.250, 0.875, 0.125], [0.000, 0.500, 0.500], [0.875, 0.250, 0.625], [0.625, 0.750, 0.875], [0.875, 0.625, 0.750], [0.752, 0.149, 0.061], [0.308, 0.561, 0.412], [0.939, 0.351, 0.248], [0.561, 0.252, 0.149], [0.603, 0.752, 0.692], [0.939, 0.588, 0.192], [0.308, 0.748, 0.397], [0.088, 0.897, 0.149], [0.588, 0.939, 0.692], [0.752, 0.603, 0.192], [0.748, 0.439, 0.351], [0.808, 0.912, 0.061], [0.149, 0.752, 0.561], [0.351, 0.412, 0.103], [0.103, 0.912, 0.351], [0.397, 0.149, 0.588], [0.103, 0.192, 0.252], [0.439, 0.692, 0.088], [0.808, 0.897, 0.248], [0.149, 0.397, 0.088], [0.351, 0.939, 0.748], [0.588, 0.649, 0.397], [0.912, 0.808, 0.561], [0.748, 0.308, 0.897], [0.412, 0.351, 0.603], [0.088, 0.192, 0.439], [0.252, 0.692, 0.103], [0.192, 0.103, 0.752], [0.649, 0.061, 0.252], [0.851, 0.603, 0.912], [0.561, 0.308, 0.912], [0.603, 0.851, 0.412], [0.897, 0.808, 0.748], [0.897, 0.088, 0.649], [0.851, 0.248, 0.439], [0.192, 0.088, 0.939], [0.649, 0.588, 0.897], [0.412, 0.061, 0.308], [0.248, 0.397, 0.808], [0.252, 0.561, 0.649], [0.912, 0.103, 0.851], [0.692, 0.252, 0.603], [0.439, 0.748, 0.851], [0.061, 0.412, 0.808], [0.397, 0.248, 0.308], [0.061, 0.649, 0.752], [0.692, 0.439, 0.588], [0.248, 0.851, 0.939]], "e_form_raw_kj_per_mol_fu": -1305, "dos_at_fermi_per_ev_cell": 35.09}


{"formula": "Li3YTe", "functional": "GGA-PBE", "state": "optimized geometry", "lattice": [[5.554, 0.000, 0.000], [0.000, 5.554, 0.000], [0.000, 0.000, 5.554]], "species": ["Y", "Te", "Li", "Li", "Li"], "fractional_positions": [[0.000, 0.000, 0.000], [0.500, 0.500, 0.500], [0.000, 0.500, 0.000], [0.000, 0.000, 0.500], [0.500, 0.000, 0.000]], "e_form_raw_kj_per_mol_fu": 388, "de_polymorph_mev_per_atom": 889, "dos_at_fermi_per_ev_cell": 5.33}


{"formula": "LiY3Te4", "functional": "GGA-PBE", "state": "optimized geometry", "lattice": [[6.116, 0.000, 0.000], [0.000, 8.929, 0.000], [0.000, 0.000, 9.851]], "species": ["Li", "Li", "Y", "Y", "Y", "Y", "Y", "Y", "Te", "Te", "Te", "Te", "Te", "Te", "Te", "Te"], "fractional_positions": [[0.070, 0.100, 0.000], [0.570, 0.900, 0.500], [0.563, 0.748, 0.000], [0.063, 0.658, 0.289], [0.563, 0.342, 0.211], [0.063, 0.252, 0.500], [0.563, 0.342, 0.789], [0.063, 0.658, 0.711], [0.064, 0.780, 0.000], [0.565, 0.093, 0.000], [0.063, 0.333, 0.200], [0.563, 0.667, 0.300], [0.065, 0.907, 0.500], [0.564, 0.220, 0.500], [0.563, 0.667, 0.700], [0.063, 0.333, 0.800]], "e_form_raw_kj_per_mol_fu": -902, "de_polymorph_mev_per_atom": 160, "dos_at_fermi_per_ev_cell": 6.12}


{"formula": "Li2Y2Te", "functional": "GGA-PBE", "state": "optimized geometry", "lattice": [[7.140, 0.000, 0.000], [0.000, 7.140, 0.000], [0.000, 0.000, 4.669]], "species": ["Y", "Y", "Y", "Y", "Te", "Te", "Li", "Li", "Li", "Li"], "fractional_positions": [[0.163, 0.663, 0.500], [0.663, 0.837, 0.500], [0.837, 0.337, 0.500], [0.337, 0.163, 0.500], [0.000, 0.000, 0.000], [0.500, 0.500, 0.000], [0.365, 0.865, 0.000], [0.865, 0.635, 0.000], [0.635, 0.135, 0.000], [0.135, 0.365, 0.000]], "e_form_raw_kj_per_mol_fu": -179, "dos_at_fermi_per_ev_cell": 5.66}


{"formula": "LiY2Te2", "functional": "GGA-PBE", "state": "optimized geometry", "lattice": [[-0.022, 8.072, 2.347], [-8.386, 0.142, -0.570], [-0.277, -1.104, 3.797]], "species": ["Y", "Y", "Y", "Y", "Te", "Te", "Te", "Te", "Li", "Li"], "fractional_positions": [[0.354, 0.854, 0.000], [0.854, 0.646, 0.000], [0.646, 0.146, 0.000], [0.146, 0.354, 0.000], [0.153, 0.653, 0.500], [0.653, 0.847, 0.500], [0.847, 0.347, 0.500], [0.347, 0.153, 0.500], [0.000, 0.000, 0.000], [0.500, 0.500, 0.000]], "e_form_raw_kj_per_mol_fu": -407, "de_polymorph_mev_per_atom": 187, "dos_at_fermi_per_ev_cell": 5.32}


{"formula": "LiY2Te2", "functional": "GGA-PBE", "state": "optimized geometry", "lattice": [[8.132, 0.000, 0.000], [0.000, 8.132, 0.000], [0.000, 0.000, 4.061]], "species": ["Y", "Y", "Y", "Y", "Te", "Te", "Te", "Te", "Li", "Li"], "fractional_positions": [[0.149, 0.649, 0.500], [0.649, 0.851, 0.500], [0.851, 0.351, 0.500], [0.351, 0.149, 0.500], [0.348, 0.848, 0.000], [0.848, 0.652, 0.000], [0.652, 0.152, 0.000], [0.152, 0.348, 0.000], [0.000, 0.000, 0.000], [0.500, 0.500, 0.000]], "e_form_raw_kj_per_mol_fu": -497, "de_polymorph_mev_per_atom": 0, "dos_at_fermi_per_ev_cell": 4.57}


{"formula": "LiYTe3", "functional": "GGA-PBE", "state": "optimized geometry", "lattice": [[-1.915, -3.757, -4.108], [5.403, -0.210, -2.327], [1.338, -4.527, 3.516]], "species": ["Y", "Te", "Te", "Te", "Li"], "fractional_positions": [[0.000, 0.000, 0.000], [0.000, 0.500, 0.000], [0.000, 0.000, 0.500], [0.500, 0.000, 0.000], [0.500, 0.500, 0.500]], "e_form_raw_kj_per_mol_fu": -231, "de_polymorph_mev_per_atom": 0, "dos_at_fermi_per_ev_cell": 7.71}


{"formula": "LiZnTe", "functional": "GGA-PBE", "state": "optimized geometry", "lattice": [[-0.293, -6.586, 1.689], [0.864, -4.906, 4.313], [-3.155, -0.726, 0.751]], "species": ["Li", "Te", "Zn"], "fractional_positions": [[0.997, 0.997, 0.003], [0.663, 0.663, 0.337], [0.340, 0.340, 0.660]], "e_form_raw_kj_per_mol_fu": -39, "de_polymorph_mev_per_atom": 206, "dos_at_fermi_per_ev_cell": 0.96}


{"formula": "LiZn2Te2", "functional": "GGA-PBE", "state": "optimized geometry", "lattice": [[7.723, 0.000, 0.000], [0.000, 7.723, 0.000], [0.000, 0.000, 3.817]], "species": ["Zn", "Zn", "Zn", "Zn", "Te", "Te", "Te", "Te", "Li", "Li"], "fractional_positions": [[0.379, 0.879, 0.000], [0.879, 0.621, 0.000], [0.621, 0.121, 0.000], [0.121, 0.379, 0.000], [0.186, 0.686, 0.500], [0.686, 0.814, 0.500], [0.814, 0.314, 0.500], [0.314, 0.186, 0.500], [0.000, 0.000, 0.000], [0.500, 0.500, 0.000]], "e_form_raw_kj_per_mol_fu": -98, "de_polymorph_mev_per_atom": 43, "dos_at_fermi_per_ev_cell": 2.11}